Computed, not measured: a relaxed RbSr2Bi crystal at the PBE level of DFT. Values from VASP.

Output
The formation energy is -0.259 eV/atom. As for the symmetry: No. 122.

Quantum ESPRESSO input file:
```
&SYSTEM
  ibrav = 0, nat = 8, ntyp = 3
/
ATOMIC_SPECIES
Sr 87.62 Sr.upf
Rb 85.47 Rb.upf
Bi 208.98 Bi.upf
ATOMIC_POSITIONS angstrom
Sr 8.054 7.086 2.927
Sr 1.717 8.054 0.976
Sr 9.022 2.685 0.976
Sr 13.423 14.391 2.927
Rb 5.369 10.739 1.952
Rb 5.369 5.369 0.000
Bi 10.739 5.369 1.952
Bi 0.000 0.000 0.000
CELL_PARAMETERS angstrom
10.739 0.000 0.000
0.000 10.739 0.000
5.369 5.369 3.903
```